No. 1
Material: ScCoPd
Method: DFT, PBE-GGA
State: relaxed

Calculated values
E = -19.705 eV per formula unit
Space group = No. 8

a = 5.1816 Å, b = 5.1816 Å, c = 5.3861 Å
α = 118.56°, β = 118.56°, γ = 50.36°
Last column: nearest neighbours and their distance in Å.
Positions (direct):
Sc: 0.0000 0.0000 0.0000  2 Co 2.55-2.82, 4 Pd 2.62-2.78
Sc: 0.6328 0.6328 0.5115  3 Co 2.65-2.72, 4 Pd 2.69-2.92
Co: 0.3377 0.3377 0.4687  2 Co 2.44, 1 Pd 2.64, 1 Sc 2.65
Co: 0.9565 0.9565 0.4912  2 Co 2.44, 1 Pd 2.52, 3 Sc 2.55-2.72
Pd: 0.2997 0.2997 0.9206  3 Co 2.64-2.80, 4 Sc 2.78-2.92, 2 Pd 2.80
Pd: 0.6634 0.6634 0.0432  1 Co 2.52, 4 Sc 2.62-2.72, 2 Pd 2.80



No. 2
Material: CaYRe2
Method: DFT, PBE-GGA
State: relaxed

Calculated values
E = -30.658 eV per formula unit
Space group = No. 123

a = 3.8095 Å, b = 3.8095 Å, c = 6.5674 Å
α = 90.00°, β = 90.00°, γ = 90.00°
Last column: nearest neighbours and their distance in Å.
Positions (direct):
Ca: 0.0000 0.0000 0.0000  2 Y 3.28, 8 Re 3.42
Y: 0.0000 0.0000 0.5000  8 Re 2.94, 2 Ca 3.28
Re: 0.5000 0.5000 0.3214  1 Re 2.35
Re: 0.5000 0.5000 0.6786  1 Re 2.35